# 1
The following is a DFT calculation (GGA-PBE) of crystalline NaSrHg at its relaxed geometry.

Computed properties:
**Magnetization**: 0.0 μB/f.u.
**SG**: C2/m
**Formation enthalpy at 0 K**: -209 meV per atom
**Calculated volume**: 220.9 Å³ per cell
**Energy above the most stable polymorph in this dataset**: 139 meV/atom

abc: 4.949 4.971 10.382
angles: 90.02 89.82 59.88
Atoms (fractional coordinates):
Na1 0.666 0.167 0.935
Na2 0.334 0.833 0.065
Sr1 0.667 0.167 0.339
Sr2 0.333 0.833 0.661
Hg1 0.999 0.500 0.828
Hg2 0.001 0.500 0.172

# 2
The following is a DFT calculation (GGA-PBE) of crystalline Na2Sr6Hg at its relaxed geometry.

Computed properties:
**Magnetization**: 0.0 μB/f.u.
**SG**: P2_1/c
**Formation enthalpy at 0 K**: -67 meV per atom
**Calculated volume**: 857.5 Å³ per cell
**Energy above the most stable polymorph in this dataset**: 0 meV/atom

abc: 7.527 9.747 11.701
angles: 90.00 87.39 90.00
Atoms (fractional coordinates):
Na1 0.899 0.386 0.750
Na2 0.601 0.886 0.750
Na3 0.399 0.114 0.250
Na4 0.101 0.614 0.250
Sr1 0.872 0.969 0.237
Sr2 0.872 0.681 0.551
Sr3 0.872 0.682 0.949
Sr4 0.628 0.182 0.551
Sr5 0.628 0.181 0.949
Sr6 0.628 0.469 0.263
Sr7 0.128 0.031 0.763
Sr8 0.128 0.319 0.449
Sr9 0.128 0.318 0.051
Sr10 0.372 0.818 0.449
Sr11 0.372 0.819 0.051
Sr12 0.372 0.531 0.737
Hg1 0.500 0.500 0.000
Hg2 0.000 0.000 0.500

# 3
The following is a DFT calculation (GGA-PBE) of crystalline Na3Sr2Hg2 at its relaxed geometry.

Computed properties:
**Magnetization**: 0.0 μB/f.u.
**SG**: C2/m
**Formation enthalpy at 0 K**: -263 meV per atom
**Calculated volume**: 242.8 Å³ per cell
**Energy above the most stable polymorph in this dataset**: 0 meV/atom

abc: 4.671 6.490 8.612
angles: 94.46 90.00 111.09
Atoms (fractional coordinates):
Na1 0.314 0.628 0.134
Na2 0.000 0.000 0.000
Na3 0.686 0.372 0.866
Sr1 0.626 0.252 0.365
Sr2 0.374 0.748 0.635
Hg1 0.091 0.182 0.652
Hg2 0.909 0.818 0.348

# 4
The following is a DFT calculation (GGA-PBE) of crystalline Na2SrHg2 at its relaxed geometry.

Computed properties:
**Magnetization**: 0.0 μB/f.u.
**SG**: I4/mmm
**Formation enthalpy at 0 K**: -293 meV per atom
**Calculated volume**: 155.1 Å³ per cell
**Energy above the most stable polymorph in this dataset**: 0 meV/atom

abc: 4.591 4.591 8.044
angles: 73.42 73.42 90.00
Atoms (fractional coordinates):
Sr1 0.000 0.000 0.000
Hg1 0.399 0.399 0.203
Hg2 0.601 0.601 0.797
Na1 0.750 0.250 0.500
Na2 0.250 0.750 0.500